[1]
Below is ReNi2Rh at its PBEsol-relaxed geometry, with properties calculated at the meta-GGA SCAN level.

Summary:
space-group type = Pmm2, No. 25
distance to the lowest polymorph of the same formula = 0.44 kcal/mol of atoms
formation enthalpy at 0 K = -0.006 eV/atom

abc: 2.637 3.660 5.089
angles: 90.00 90.00 90.00
Atoms (fractional coordinates):
Ni (0.000, 0.500, 0.244)
Rh (0.000, 0.500, 0.750)
Re (0.500, 0.000, 0.492)
Ni (0.500, 0.000, 0.014)

=====

[2]
Below is ReNiRh2 at its PBEsol-relaxed geometry, with properties calculated at the meta-GGA SCAN level.

Summary:
space-group type = Pmmm, No. 47
distance to the lowest polymorph of the same formula = 0.00 kcal/mol of atoms
formation enthalpy at 0 K = -0.073 eV/atom

abc: 2.670 3.710 5.258
angles: 90.00 90.00 90.00
Atoms (fractional coordinates):
Rh (0.000, 0.000, 0.246)
Re (0.500, 0.500, 0.500)
Rh (0.000, 0.000, 0.754)
Ni (0.500, 0.500, 0.000)

=====

[3]
Below is ReNiRh2 at its PBEsol-relaxed geometry, with properties calculated at the meta-GGA SCAN level.

Summary:
space-group type = P4/mmm, No. 123
distance to the lowest polymorph of the same formula = 0.70 kcal/mol of atoms
formation enthalpy at 0 K = -0.042 eV/atom

abc: 2.680 2.680 7.295
angles: 90.00 90.00 90.00
Atoms (fractional coordinates):
Re (0.500, 0.500, 0.500)
Rh (0.000, 0.000, 0.756)
Ni (0.500, 0.500, 0.000)
Rh (0.000, 0.000, 0.244)

=====

[4]
Below is ReNi2Rh at its PBEsol-relaxed geometry, with properties calculated at the meta-GGA SCAN level.

Summary:
space-group type = Cm, No. 8
distance to the lowest polymorph of the same formula = 0.73 kcal/mol of atoms
formation enthalpy at 0 K = 0.006 eV/atom

abc: 2.621 4.404 4.506
angles: 100.14 106.91 90.00
Atoms (fractional coordinates):
Rh (0.749, 0.253, 0.497)
Ni (0.251, 0.755, 0.503)
Re (0.502, 0.503, 0.004)
Ni (0.998, 0.989, 0.996)

=====

[5]
Below is ReNiRh2 at its PBEsol-relaxed geometry, with properties calculated at the meta-GGA SCAN level.

Summary:
space-group type = Pmm2, No. 25
distance to the lowest polymorph of the same formula = 1.23 kcal/mol of atoms
formation enthalpy at 0 K = -0.019 eV/atom

abc: 2.662 3.727 5.263
angles: 90.00 90.00 90.00
Atoms (fractional coordinates):
Rh (0.000, 0.000, 0.991)
Re (0.500, 0.500, 0.738)
Rh (0.500, 0.500, 0.266)
Ni (0.000, 0.000, 0.505)

=====

[6]
Below is ReNiRh2 at its PBEsol-relaxed geometry, with properties calculated at the meta-GGA SCAN level.

Summary:
space-group type = I4/mmm, No. 139
distance to the lowest polymorph of the same formula = 0.15 kcal/mol of atoms
formation enthalpy at 0 K = -0.066 eV/atom

abc: 3.752 3.752 4.544
angles: 114.38 114.38 90.00
Atoms (fractional coordinates):
Ni (0.000, 0.000, 0.000)
Re (0.500, 0.500, 0.000)
Rh (0.750, 0.250, 0.500)
Rh (0.250, 0.750, 0.500)

=====

[7]
Below is ReNiRh at its PBEsol-relaxed geometry, with properties calculated at the meta-GGA SCAN level.

Summary:
space-group type = I4mm, No. 107
distance to the lowest polymorph of the same formula = 1.99 kcal/mol of atoms
formation enthalpy at 0 K = -0.014 eV/atom

abc: 2.677 2.677 5.718
angles: 103.54 103.54 90.00
Atoms (fractional coordinates):
Re (0.662, 0.662, 0.324)
Rh (0.334, 0.334, 0.668)
Ni (0.004, 0.004, 0.007)

=====

[8]
Below is Re2NiRu at its PBEsol-relaxed geometry, with properties calculated at the meta-GGA SCAN level.

Summary:
space-group type = Pmm2, No. 25
distance to the lowest polymorph of the same formula = 0.00 kcal/mol of atoms
formation enthalpy at 0 K = -0.066 eV/atom

abc: 2.691 4.247 4.636
angles: 90.00 90.00 90.00
Atoms (fractional coordinates):
Ni (0.500, 0.500, 0.205)
Re (0.000, 0.500, 0.712)
Re (0.000, 0.000, 0.050)
Ru (0.500, 0.000, 0.533)

=====

[9]
Below is ReNi2Ru at its PBEsol-relaxed geometry, with properties calculated at the meta-GGA SCAN level.

Summary:
space-group type = I-4m2, No. 119
distance to the lowest polymorph of the same formula = 0.00 kcal/mol of atoms
formation enthalpy at 0 K = 0.009 eV/atom

abc: 3.643 3.643 4.481
angles: 113.99 113.99 90.00
Atoms (fractional coordinates):
Re (0.500, 0.500, 0.000)
Ni (0.750, 0.250, 0.500)
Ni (0.000, 0.000, 0.000)
Ru (0.250, 0.750, 0.500)

=====

[10]
Below is ReNi2Ru at its PBEsol-relaxed geometry, with properties calculated at the meta-GGA SCAN level.

Summary:
space-group type = I4/mmm, No. 139
distance to the lowest polymorph of the same formula = 2.45 kcal/mol of atoms
formation enthalpy at 0 K = 0.116 eV/atom

abc: 3.622 3.622 4.508
angles: 113.69 113.69 90.00
Atoms (fractional coordinates):
Ni (0.750, 0.250, 0.500)
Re (0.500, 0.500, 0.000)
Ni (0.250, 0.750, 0.500)
Ru (0.000, 0.000, 0.000)

=====

[11]
Below is ReNi2Ru at its PBEsol-relaxed geometry, with properties calculated at the meta-GGA SCAN level.

Summary:
space-group type = Fm-3m, No. 225
distance to the lowest polymorph of the same formula = 6.55 kcal/mol of atoms
formation enthalpy at 0 K = 0.294 eV/atom

abc: 4.097 4.097 4.097
angles: 60.00 60.00 60.00
Atoms (fractional coordinates):
Ni (0.250, 0.250, 0.250)
Ru (0.500, 0.500, 0.500)
Re (0.000, 0.000, 0.000)
Ni (0.750, 0.750, 0.750)

=====

[12]
Below is ReNi2Ru at its PBEsol-relaxed geometry, with properties calculated at the meta-GGA SCAN level.

Summary:
space-group type = Pmm2, No. 25
distance to the lowest polymorph of the same formula = 1.21 kcal/mol of atoms
formation enthalpy at 0 K = 0.062 eV/atom

abc: 2.648 3.619 5.123
angles: 90.00 90.00 90.00
Atoms (fractional coordinates):
Ni (0.000, 0.000, 0.014)
Ni (0.500, 0.500, 0.239)
Ru (0.500, 0.500, 0.752)
Re (0.000, 0.000, 0.495)

=====

[13]
Below is Re3NiRu at its PBEsol-relaxed geometry, with properties calculated at the meta-GGA SCAN level.

Summary:
space-group type = Pm-3m, No. 221
formation enthalpy at 0 K = 2.574 eV/atom

abc: 4.552 4.552 4.552
angles: 90.00 90.00 90.00
Atoms (fractional coordinates):
Ru (0.000, 0.000, 0.000)
Re (0.000, 0.000, 0.500)
Re (0.000, 0.500, 0.000)
Ni (0.500, 0.500, 0.500)
Re (0.500, 0.000, 0.000)

=====

[14]
Below is Re2NiRu at its PBEsol-relaxed geometry, with properties calculated at the meta-GGA SCAN level.

Summary:
space-group type = Fm-3m, No. 225
distance to the lowest polymorph of the same formula = 12.52 kcal/mol of atoms
formation enthalpy at 0 K = 0.477 eV/atom

abc: 4.242 4.242 4.242
angles: 60.00 60.00 60.00
Atoms (fractional coordinates):
Ni (0.000, 0.000, 0.000)
Re (0.750, 0.750, 0.750)
Ru (0.500, 0.500, 0.500)
Re (0.250, 0.250, 0.250)

=====

[15]
Below is ReNiS3 at its PBEsol-relaxed geometry, with properties calculated at the meta-GGA SCAN level.

Summary:
space-group type = Pm-3m, No. 221
raw formation energy = 1.17 eV per atom

abc: 4.231 4.231 4.231
angles: 90.00 90.00 90.00
Atoms (fractional coordinates):
S (0.500, 0.000, 0.000)
S (0.000, 0.000, 0.500)
Ni (0.000, 0.000, 0.000)
S (0.000, 0.500, 0.000)
Re (0.500, 0.500, 0.500)

=====

[16]
Below is ReNiSb2 at its PBEsol-relaxed geometry, with properties calculated at the meta-GGA SCAN level.

Summary:
space-group type = P4/mmm, No. 123
raw formation energy = 0.46 eV per atom

abc: 3.293 3.293 6.216
angles: 90.00 90.00 90.00
Atoms (fractional coordinates):
Sb (0.000, 0.000, 0.755)
Re (0.500, 0.500, 0.500)
Sb (0.000, 0.000, 0.245)
Ni (0.500, 0.500, 0.000)

=====

[17]
Below is Re2NiSb at its PBEsol-relaxed geometry, with properties calculated at the meta-GGA SCAN level.

Summary:
space-group type = P4mm, No. 99
raw formation energy = 0.36 eV per atom

abc: 3.019 3.019 6.648
angles: 90.00 90.00 90.00
Atoms (fractional coordinates):
Re (0.000, 0.000, 0.996)
Re (0.500, 0.500, 0.222)
Ni (0.500, 0.500, 0.757)
Sb (0.000, 0.000, 0.525)

=====

[18]
Below is Re2NiSb at its PBEsol-relaxed geometry, with properties calculated at the meta-GGA SCAN level.

Summary:
space-group type = I4/mmm, No. 139
raw formation energy = 0.62 eV per atom

abc: 3.878 3.878 4.803
angles: 113.81 113.81 90.00
Atoms (fractional coordinates):
Re (0.250, 0.750, 0.500)
Ni (0.000, 0.000, 0.000)
Sb (0.500, 0.500, 0.000)
Re (0.750, 0.250, 0.500)

=====

[19]
Below is Re3NiSb at its PBEsol-relaxed geometry, with properties calculated at the meta-GGA SCAN level.

Summary:
space-group type = Pm-3m, No. 221
raw formation energy = 3.16 eV per atom

abc: 4.736 4.736 4.736
angles: 90.00 90.00 90.00
Atoms (fractional coordinates):
Re (0.000, 0.000, 0.500)
Ni (0.500, 0.500, 0.500)
Sb (0.000, 0.000, 0.000)
Re (0.500, 0.000, 0.000)
Re (0.000, 0.500, 0.000)

=====

[20]
Below is ScReNi2 at its PBEsol-relaxed geometry, with properties calculated at the meta-GGA SCAN level.

Summary:
space-group type = P2/m, No. 10
distance to the lowest polymorph of the same formula = 4.50 kcal/mol of atoms
formation enthalpy at 0 K = 0.110 eV/atom

abc: 2.653 4.595 4.822
angles: 112.65 90.00 90.00
Atoms (fractional coordinates):
Ni (0.500, 0.000, 0.500)
Re (0.500, 0.500, 0.000)
Ni (0.000, 0.000, 0.000)
Sc (0.000, 0.500, 0.500)